Record 1
The following is a PBE-GGA calculation of a relaxed InAg2Te4As crystal, from Alexandria.

Lattice parameters (Å, degrees): 6.575 6.575 7.937 65.63 65.61 89.98
Fractional positions:
In1 0.000 0.000 0.000
Ag1 0.500 0.500 0.000
Ag2 0.750 0.250 0.500
Te1 0.126 0.128 0.252
Te2 0.380 0.875 0.747
Te3 0.623 0.621 0.252
Te4 0.872 0.377 0.749
As1 0.250 0.750 0.500

The value obtained for the energy relative to the elements, uncorrected is -0.093 eV per atom. The value obtained for the total magnetization is 0.00 Bohr magnetons per cell.

---

Record 2
The following is a PBE-GGA calculation of a relaxed InAgAsW2 crystal, from Alexandria.

Lattice parameters (Å, degrees): 5.122 5.122 4.918 90.00 90.00 90.00
Fractional positions:
In1 0.000 0.000 0.000
Ag1 0.000 0.000 0.500
As1 0.500 0.500 0.500
W1 0.000 0.500 0.000
W2 0.500 0.000 0.000

The density of states at the Fermi level is 1.98 states/eV/cell. The formation energy is 2.365 eV per atom. The value obtained for the total magnetization is 5.14 Bohr magnetons per cell.